Record 1
Entry from the Alexandria database: a crystal of BaCa2Os relaxed with PBEsol (SCAN).

Total energy (eV per atom): -32.0415
Formation enthalpy at 0 K (eV/atom): 0.6477
ΔE to the lowest computed polymorph (meV/atom): 209
Crystal system: trigonal

a = 3.5174 Å, b = 3.5174 Å, c = 33.6146 Å
α = 90.00°, β = 90.00°, γ = 120.00°
Space group R-3m (No. 166, hexagonal axes)
One atom of each set of equivalent atoms:
Ba 0.0000 0.0000 0.0000
Ca 0.0000 0.0000 0.2260
Os 0.0000 0.0000 0.5000



Record 2
Entry from the Alexandria database: a crystal of NdMg2 relaxed with PBEsol (SCAN).

Total energy (eV per atom): -17.9602
Formation enthalpy at 0 K (eV/atom): -0.1170
Crystal system: cubic

a = 8.579 Å, b = 8.579 Å, c = 8.579 Å
α = 90.00°, β = 90.00°, γ = 90.00°
Space group Fd-3m (No. 227, origin choice 2)
One atom of each set of equivalent atoms:
Nd 0.125 0.125 0.125
Mg 0.000 0.000 0.500



Record 3
Entry from the Alexandria database: a crystal of Be5Cu relaxed with PBEsol (SCAN).

Total energy (eV per atom): -6.1915
Formation enthalpy at 0 K (eV/atom): -0.0303
Crystal system: tetragonal

a = 2.587 Å, b = 2.587 Å, c = 7.486 Å
α = 90.00°, β = 90.00°, γ = 90.00°
Space group P4/mmm (No. 123)
One atom of each set of equivalent atoms:
Be 0.000 0.000 0.000
Be 0.000 0.000 0.323
Be 0.500 0.500 0.162
Cu 0.500 0.500 0.500



Record 4
Entry from the Alexandria database: a crystal of InCu2Ag relaxed with PBEsol (SCAN).

Total energy (eV per atom): -23.6971
Formation enthalpy at 0 K (eV/atom): 0.0910
Crystal system: orthorhombic

a = 3.104 Å, b = 3.245 Å, c = 5.967 Å
α = 90.00°, β = 90.00°, γ = 90.00°
Space group Pmmm (No. 47)
One atom of each set of equivalent atoms:
In 0.000 0.000 0.000
Cu 0.500 0.500 0.263
Ag 0.000 0.000 0.500



Record 5
Entry from the Alexandria database: a crystal of Mn2TeAu relaxed with PBEsol (SCAN).

Total energy (eV per atom): -35.7203
E_form (uncorrected) (eV/atom): 0.0092
Crystal system: trigonal

a = 3.1756 Å, b = 3.1756 Å, c = 24.4613 Å
α = 90.00°, β = 90.00°, γ = 120.00°
Space group R3m (No. 160, hexagonal axes)
One atom of each set of equivalent atoms:
Mn 0.0000 0.0000 0.0000
Mn 0.0000 0.0000 0.2694
Te 0.0000 0.0000 0.5214
Au 0.0000 0.0000 0.7445



Record 6
Entry from the Alexandria database: a crystal of CrAg2Pt relaxed with PBEsol (SCAN).

Total energy (eV per atom): -37.6121
Formation enthalpy at 0 K (eV/atom): 0.2159
ΔE to the lowest computed polymorph (meV/atom): 235
Crystal system: tetragonal

a = 2.809 Å, b = 2.809 Å, c = 7.919 Å
α = 90.00°, β = 90.00°, γ = 90.00°
Space group P4/mmm (No. 123)
One atom of each set of equivalent atoms:
Cr 0.000 0.000 0.000
Ag 0.500 0.500 0.247
Pt 0.000 0.000 0.500



In order of appearance, Fermi-level density of states = 2.2 2.4 1.0 1.1 1.1 3.7 states/eV/f.u..